A plane-wave DFT calculation with PBE-GGA was carried out for a geometry-optimized Ac3ErMn2N6 structure.

a = 5.9443 Å, b = 5.9443 Å, c = 6.9107 Å
α = 90.00°, β = 90.00°, γ = 120.00°
Last column: magnetic moment on the atom in μB.
Fractional positions:
Ac  0.3333  0.6667  0.6684  0.03
Ac  0.6667  0.3333  0.3316  0.03
Ac  0.0000  0.0000  0.0000  0.04
N  0.3465  0.1732  0.7075  0.00
N  0.6535  0.8268  0.2925  0.00
N  0.1732  0.3465  0.2925  0.00
N  0.8268  0.6535  0.7075  0.00
N  0.8268  0.1732  0.7075  0.00
N  0.1732  0.8268  0.2925  0.00
Er  0.0000  0.0000  0.5000  0.10
Mn  0.6667  0.3333  0.7906  1.71
Mn  0.3333  0.6667  0.2094  1.71

Volume = 211.5 Å³/cell
Theoretical density = 8.2 g cm⁻³
Formation energy from raw total energies = -90.6 kJ per mole of atoms